[1]
DFT (PBE) results for a relaxed SrNdPBr crystal.

Calculated values
E   -4.8660 eV/atom

```
data_SrNdPBr
_chemical_formula_sum 'Sr3 Nd3 P3 Br3'
_cell_length_a 4.2648
_cell_length_b 4.2648
_cell_length_c 22.1665
_cell_angle_alpha 90.00
_cell_angle_beta 90.00
_cell_angle_gamma 120.00
_symmetry_space_group_name_H-M 'R 3 m'
_symmetry_Int_Tables_number 160
_symmetry_space_group_name_Hall 'R 3 -2"'
loop_
_atom_site_label
_atom_site_type_symbol
_atom_site_fract_x
_atom_site_fract_y
_atom_site_fract_z
_atom_site_occupancy
Sr1 Sr 0.0000 0.0000 0.0000 1
Nd1 Nd 0.0000 0.0000 0.5268 1
P1 P 0.0000 0.0000 0.2590 1
Br1 Br 0.0000 0.0000 0.7657 1
```

[2]
DFT (PBE) results for a relaxed PmMgZn4 crystal.

Calculated values
E   -2.1952 eV/atom

```
data_PmMgZn4
_chemical_formula_sum 'Pm1 Mg1 Zn4'
_cell_length_a 4.3513
_cell_length_b 4.3513
_cell_length_c 7.0197
_cell_angle_alpha 90.00
_cell_angle_beta 90.00
_cell_angle_gamma 120.00
_symmetry_space_group_name_H-M 'P 6/m m m'
_symmetry_Int_Tables_number 191
_symmetry_space_group_name_Hall '-P 6 2'
loop_
_atom_site_label
_atom_site_type_symbol
_atom_site_fract_x
_atom_site_fract_y
_atom_site_fract_z
_atom_site_occupancy
Pm1 Pm 0.0000 0.0000 0.0000 1
Mg1 Mg 0.0000 0.0000 0.5000 1
Zn1 Zn 0.3333 0.6667 0.2849 1
```

[3]
DFT (PBE) results for a relaxed Pr4SiCl5 crystal.

Calculated values
E   -5.1262 eV/atom

```
data_Pr4SiCl5
_chemical_formula_sum 'Pr8 Si2 Cl10'
_cell_length_a 18.400
_cell_length_b 4.135
_cell_length_c 8.468
_cell_angle_alpha 90.00
_cell_angle_beta 105.17
_cell_angle_gamma 90.00
_symmetry_space_group_name_H-M 'C 1 2/m 1'
_symmetry_Int_Tables_number 12
loop_
_symmetry_equiv_pos_as_xyz
'x,y,z'
'-x,-y,-z'
'-x,y,-z'
'x,-y,z'
'x+1/2,y+1/2,z'
'-x+1/2,-y+1/2,-z'
'-x+1/2,y+1/2,-z'
'x+1/2,-y+1/2,z'
loop_
_atom_site_label
_atom_site_type_symbol
_atom_site_fract_x
_atom_site_fract_y
_atom_site_fract_z
_atom_site_occupancy
Pr1 Pr 0.000 0.000 0.233 1
Pr2 Pr 0.156 0.500 0.096 1
Si1 Si 0.000 0.500 0.000 1
Cl1 Cl 0.000 0.500 0.500 1
Cl2 Cl 0.166 0.000 0.333 1
Cl3 Cl 0.170 0.000 0.861 1
```

[4]
DFT (PBE) results for a relaxed PrErCu crystal.

Calculated values
Formation energy   0.085 eV/atom

```
data_PrErCu
_chemical_formula_sum 'Pr4 Er4 Cu4'
_cell_length_a 6.914
_cell_length_b 6.914
_cell_length_c 6.914
_cell_angle_alpha 90.00
_cell_angle_beta 90.00
_cell_angle_gamma 90.00
_symmetry_space_group_name_H-M 'F -4 3 m'
_symmetry_Int_Tables_number 216
_symmetry_space_group_name_Hall 'F -4 2 3'
loop_
_atom_site_label
_atom_site_type_symbol
_atom_site_fract_x
_atom_site_fract_y
_atom_site_fract_z
_atom_site_occupancy
Pr1 Pr 0.000 0.000 0.000 1
Er1 Er 0.000 0.000 0.500 1
Cu1 Cu 0.250 0.250 0.750 1
```

[5]
DFT (PBE) results for a relaxed ErZrIn2Au4 crystal.

Calculated values
E   -4.5069 eV/atom

```
data_ErZrIn2Au4
_chemical_formula_sum 'Er1 Zr1 In2 Au4'
_cell_length_a 4.7221
_cell_length_b 4.7221
_cell_length_c 8.7649
_cell_angle_alpha 90.00
_cell_angle_beta 90.00
_cell_angle_gamma 120.00
_symmetry_space_group_name_H-M 'P -6 m 2'
_symmetry_Int_Tables_number 187
_symmetry_space_group_name_Hall 'P -6 2'
loop_
_atom_site_label
_atom_site_type_symbol
_atom_site_fract_x
_atom_site_fract_y
_atom_site_fract_z
_atom_site_occupancy
Er1 Er 0.0000 0.0000 0.0000 1
Zr1 Zr 0.3333 0.6667 0.5000 1
In1 In 0.6667 0.3333 0.2917 1
Au1 Au 0.0000 0.0000 0.3416 1
Au2 Au 0.3333 0.6667 0.1594 1
```

[6]
DFT (PBE) results for a relaxed Fe2Ge crystal.

Calculated values
E   -6.8693 eV/atom

```
data_Fe2Ge
_chemical_formula_sum 'Fe2 Ge1'
_cell_length_a 4.1599
_cell_length_b 4.1599
_cell_length_c 2.6207
_cell_angle_alpha 90.00
_cell_angle_beta 90.00
_cell_angle_gamma 120.00
_symmetry_space_group_name_H-M 'P 6/m m m'
_symmetry_Int_Tables_number 191
_symmetry_space_group_name_Hall '-P 6 2'
loop_
_atom_site_label
_atom_site_type_symbol
_atom_site_fract_x
_atom_site_fract_y
_atom_site_fract_z
_atom_site_occupancy
Fe1 Fe 0.3333 0.6667 0.0000 1
Ge1 Ge 0.0000 0.0000 0.5000 1
```

[7]
DFT (PBE) results for a relaxed ScCdInS3 crystal.

Calculated values
E   -4.7064 eV/atom

```
data_ScCdInS3
_chemical_formula_sum 'Sc4 Cd4 In4 S12'
_cell_length_a 12.330
_cell_length_b 3.711
_cell_length_c 12.024
_cell_angle_alpha 90.00
_cell_angle_beta 90.00
_cell_angle_gamma 90.00
_symmetry_space_group_name_H-M 'P n m a'
_symmetry_Int_Tables_number 62
loop_
_symmetry_equiv_pos_as_xyz
'x,y,z'
'-x,-y,-z'
'-x+1/2,-y,z+1/2'
'x+1/2,y,-z+1/2'
'x+1/2,-y+1/2,-z+1/2'
'-x+1/2,y+1/2,z+1/2'
'-x,y+1/2,-z'
'x,-y+1/2,z'
loop_
_atom_site_label
_atom_site_type_symbol
_atom_site_fract_x
_atom_site_fract_y
_atom_site_fract_z
_atom_site_occupancy
Sc1 Sc 0.019 0.250 0.144 1
Cd1 Cd 0.196 0.750 0.386 1
In1 In 0.174 0.250 0.588 1
S1 S 0.006 0.750 0.297 1
S2 S 0.100 0.250 0.946 1
S3 S 0.225 0.250 0.208 1
```

[8]
DFT (PBE) results for a relaxed TbGd2Mg3Pt2Au crystal.

Calculated values
E   -4.6363 eV/atom

```
data_TbGd2Mg3Pt2Au
_chemical_formula_sum 'Tb2 Gd4 Mg6 Pt4 Au2'
_cell_length_a 4.074
_cell_length_b 12.956
_cell_length_c 7.481
_cell_angle_alpha 90.00
_cell_angle_beta 90.00
_cell_angle_gamma 90.00
_symmetry_space_group_name_H-M 'A m m 2'
_symmetry_Int_Tables_number 38
loop_
_symmetry_equiv_pos_as_xyz
'x,y,z'
'-x,-y,z'
'-x,y,z'
'x,-y,z'
'x,y+1/2,z+1/2'
'-x,-y+1/2,z+1/2'
'-x,y+1/2,z+1/2'
'x,-y+1/2,z+1/2'
loop_
_atom_site_label
_atom_site_type_symbol
_atom_site_fract_x
_atom_site_fract_y
_atom_site_fract_z
_atom_site_occupancy
Tb1 Tb 0.000 0.000 0.000 1
Gd1 Gd 0.000 0.208 0.375 1
Mg1 Mg 0.500 0.000 0.333 1
Mg2 Mg 0.500 0.125 0.709 1
Pt1 Pt 0.500 0.167 0.083 1
Au1 Au 0.000 0.000 0.584 1
```

[9]
DFT (PBE) results for a relaxed YZnInFe crystal.

Calculated values
E   -4.7170 eV/atom

```
data_YZnInFe
_chemical_formula_sum 'Y4 Zn4 In4 Fe4'
_cell_length_a 6.725
_cell_length_b 6.725
_cell_length_c 6.725
_cell_angle_alpha 90.00
_cell_angle_beta 90.00
_cell_angle_gamma 90.00
_symmetry_space_group_name_H-M 'F -4 3 m'
_symmetry_Int_Tables_number 216
_symmetry_space_group_name_Hall 'F -4 2 3'
loop_
_atom_site_label
_atom_site_type_symbol
_atom_site_fract_x
_atom_site_fract_y
_atom_site_fract_z
_atom_site_occupancy
Y1 Y 0.000 0.000 0.000 1
Zn1 Zn 0.250 0.250 0.250 1
In1 In 0.000 0.000 0.500 1
Fe1 Fe 0.250 0.250 0.750 1
```

[10]
DFT (PBE) results for a relaxed Li3TaB7 crystal.

Calculated values
E   -5.2466 eV/atom

```
data_Li3TaB7
_chemical_formula_sum 'Li12 Ta4 B28'
_cell_length_a 2.549
_cell_length_b 32.235
_cell_length_c 7.071
_cell_angle_alpha 90.00
_cell_angle_beta 90.00
_cell_angle_gamma 90.00
_symmetry_space_group_name_H-M 'C m m m'
_symmetry_Int_Tables_number 65
_symmetry_space_group_name_Hall '-C 2 2'
loop_
_atom_site_label
_atom_site_type_symbol
_atom_site_fract_x
_atom_site_fract_y
_atom_site_fract_z
_atom_site_occupancy
Li1 Li 0.000 0.110 0.203 1
Li2 Li 0.000 0.206 0.500 1
Ta1 Ta 0.000 0.044 0.500 1
B1 B 0.000 0.268 0.160 1
B2 B 0.000 0.317 0.217 1
B3 B 0.000 0.350 0.381 1
B4 B 0.000 0.395 0.500 1
```

[11]
DFT (PBE) results for a relaxed NdBiN2O crystal.

Calculated values
E   -6.6020 eV/atom

```
data_NdBiN2O
_chemical_formula_sum 'Nd4 Bi4 N8 O4'
_cell_length_a 8.304
_cell_length_b 8.437
_cell_length_c 5.910
_cell_angle_alpha 90.00
_cell_angle_beta 133.97
_cell_angle_gamma 90.00
_symmetry_space_group_name_H-M 'C 1 2/m 1'
_symmetry_Int_Tables_number 12
loop_
_symmetry_equiv_pos_as_xyz
'x,y,z'
'-x,-y,-z'
'-x,y,-z'
'x,-y,z'
'x+1/2,y+1/2,z'
'-x+1/2,-y+1/2,-z'
'-x+1/2,y+1/2,-z'
'x+1/2,-y+1/2,z'
loop_
_atom_site_label
_atom_site_type_symbol
_atom_site_fract_x
_atom_site_fract_y
_atom_site_fract_z
_atom_site_occupancy
Nd1 Nd 0.225 0.000 0.459 1
Bi1 Bi 0.250 0.250 0.000 1
N1 N 0.000 0.180 0.000 1
N2 N 0.133 0.500 0.854 1
O1 O 0.000 0.170 0.500 1
```